Density functional theory data (PBE-GGA) for a relaxed CuNi3Ge crystal.

- energy above the most stable polymorph in this dataset (meV/atom) = 0
- formation energy (eV per atom) = -0.1635
- total DFT energy (no corrections) (eV per atom) = -5.37

Unit cell a=3.7109 b=16.8093 c=3.7085 alpha=90.00 beta=90.00 gamma=90.00
Space group Cmcm (No. 63)
Inequivalent atoms, fractional coordinates:
Cu 0.0000 0.1480 0.2500 x4
Ni 0.0000 0.0498 0.7500 x4
Ni 0.0000 0.2499 0.7500 x4
Ni 0.0000 0.4499 0.7500 x4
Ge 0.0000 0.3510 0.2500 x4


Density functional theory data (PBE-GGA) for a relaxed Sc2BeP crystal.

- energy above the most stable polymorph in this dataset (meV/atom) = 550
- formation energy (eV per atom) = -0.2974
- total DFT energy (no corrections) (eV per atom) = -5.75

Unit cell a=3.8609 b=5.1313 c=7.1337 alpha=90.00 beta=90.00 gamma=90.00
Space group Cmm2 (No. 35)
Inequivalent atoms, fractional coordinates:
Sc 0.0000 0.0000 0.0000 x2
Sc 0.0000 0.5000 0.3608 x2
Be 0.0000 0.0000 0.6204 x2
P 0.0000 0.5000 0.7523 x2